A geometry-optimized LiHgPb2O structure. Source: Alexandria via LeMat-Bulk, functional GGA-PBE.

Values from the calculation:
E_form (uncorrected) (eV/atom): -0.601
Magnetization (μB per cell): 0.0
N(E_F) (states/eV/f.u.): 3.61

Cell lengths 5.3082, 5.3082, 3.7769 Å; angles 90.00, 90.00, 90.00 degrees
Space group P4/mmm (No. 123)
Symmetry-distinct sites (fractional):
1 Li 0.0000 0.0000 0.0000 [1 per cell]
2 Hg 0.5000 0.5000 0.0000 [1 per cell]
3 Pb 0.0000 0.5000 0.5000 [2 per cell]
4 O 0.0000 0.0000 0.5000 [1 per cell]

***

A geometry-optimized LiHgPd2O structure. Source: Alexandria via LeMat-Bulk, functional GGA-PBE.

Values from the calculation:
E_form (uncorrected) (eV/atom): -0.531
Magnetization (μB per cell): 0.0
N(E_F) (states/eV/f.u.): 2.01

Cell lengths 4.4020, 4.4020, 3.7653 Å; angles 90.00, 90.00, 90.00 degrees
Space group P4/mmm (No. 123)
Symmetry-distinct sites (fractional):
1 Li 0.0000 0.0000 0.0000 [1 per cell]
2 Hg 0.5000 0.5000 0.0000 [1 per cell]
3 Pd 0.0000 0.5000 0.5000 [2 per cell]
4 O 0.0000 0.0000 0.5000 [1 per cell]

***

A geometry-optimized LiHg3Pd3O8 structure. Source: Alexandria via LeMat-Bulk, functional GGA-PBE.

Values from the calculation:
E_form (uncorrected) (eV/atom): -0.379
Magnetization (μB per cell): 0.0
N(E_F) (states/eV/f.u.): 4.22

Cell lengths 10.4567, 6.2246, 6.1895 Å; angles 90.00, 91.68, 90.00 degrees
Space group C2/m (No. 12)
Symmetry-distinct sites (fractional):
1 Li 0.0000 0.0000 0.0000 [2 per cell]
2 Hg 0.0000 0.0000 0.5000 [2 per cell]
3 Hg 0.2500 0.2500 0.5000 [4 per cell]
4 Pd 0.0000 0.5000 0.0000 [2 per cell]
5 Pd 0.2500 0.2500 0.0000 [4 per cell]
6 O 0.0891 0.2594 0.1788 [8 per cell]
7 O 0.1655 0.5000 0.8328 [4 per cell]
8 O 0.1706 0.0000 0.8228 [4 per cell]

***

A geometry-optimized Li2HgPdO4 structure. Source: Alexandria via LeMat-Bulk, functional GGA-PBE.

Values from the calculation:
E_form (uncorrected) (eV/atom): -0.886
Magnetization (μB per cell): 0.0
N(E_F) (states/eV/f.u.): 0.52

Cell lengths 5.6260, 3.0447, 5.8450 Å; angles 90.00, 112.80, 90.00 degrees
Space group P2/m (No. 10)
Symmetry-distinct sites (fractional):
1 Li 0.0000 0.0000 0.0000 [1 per cell]
2 Li 0.5000 0.5000 0.5000 [1 per cell]
3 Hg 0.0000 0.0000 0.5000 [1 per cell]
4 Pd 0.5000 0.5000 0.0000 [1 per cell]
5 O 0.1100 0.5000 0.8222 [2 per cell]
6 O 0.4661 0.0000 0.2255 [2 per cell]